A geometry-optimized Ta2SbRuS structure. Source: the Alexandria database, functional PBE.

Cell lengths 5.007, 4.225, 5.007 Å; angles 90.00, 90.00, 90.00 degrees
Sites, in units of the cell vectors:
1 Ta 0.000 0.000 0.500
2 S 0.000 0.500 0.000
3 Sb 0.500 0.500 0.500
4 Ta 0.500 0.000 0.000
5 Ru 0.000 0.000 0.000

Values from the calculation:
**Space-group type**: P4/mmm (123)
**Crystal system**: tetragonal
**DOS(E_F)**: 4.2 states/eV/cell
**ΔE_f (raw)**: 0.7579 eV/atom